{
  "formula": "Ta5Sb4",
  "functional": "PBEsol",
  "state": "optimized geometry",
  "n_ef_per_ev_fu": 3.3,
  "total_magnetization_mub_per_cell": 0.000,
  "dft_energy_ev_per_atom": -9.20,
  "formation_energy_uncorrected_mev_per_atom": -205.5,
  "lattice_angstrom": [[3.523, 0.000, 0.000], [1.761, 7.227, 0.000], [1.761, 0.000, 7.227]],
  "species": ["Sb", "Sb", "Sb", "Sb", "Ta", "Ta", "Ta", "Ta", "Ta"],
  "frac_coords": [[0.702, 0.246, 0.349], [0.051, 0.651, 0.246], [0.949, 0.349, 0.754], [0.298, 0.754, 0.651], [0.000, 0.000, 0.000], [0.687, 0.684, 0.942], [0.313, 0.316, 0.058], [0.629, 0.058, 0.684], [0.371, 0.942, 0.316]]
}

{
  "formula": "Be2AgCl",
  "functional": "PBEsol",
  "state": "optimized geometry",
  "n_ef_per_ev_fu": 1.0,
  "total_magnetization_mub_per_cell": 0.000,
  "dft_energy_ev_per_atom": -3.23,
  "formation_energy_uncorrected_mev_per_atom": 104.2,
  "polymorph_energy_mev_per_atom": 0,
  "lattice_angstrom": [[2.895, 0.000, 0.000], [1.447, 4.176, 0.003], [1.447, 0.153, 5.204]],
  "species": ["Cl", "Be", "Be", "Ag"],
  "frac_coords": [[0.500, 0.500, 0.500], [0.146, 0.557, 0.152], [0.854, 0.443, 0.848], [0.500, 0.000, 0.000]]
}

{
  "formula": "SbHO2F6",
  "functional": "PBEsol",
  "state": "optimized geometry",
  "n_ef_per_ev_fu": 0.0,
  "total_magnetization_mub_per_cell": 4.000,
  "dft_energy_ev_per_atom": -4.61,
  "lattice_angstrom": [[5.044, -0.010, 0.167], [-0.260, 7.483, -0.005], [-0.735, -0.170, 7.787]],
  "species": ["Sb", "Sb", "H", "H", "F", "F", "F", "F", "F", "F", "F", "F", "F", "F", "F", "F", "O", "O", "O", "O"],
  "frac_coords": [[0.542, 0.724, 0.782], [0.458, 0.276, 0.218], [0.158, 0.955, 0.174], [0.842, 0.045, 0.826], [0.755, 0.957, 0.901], [0.694, 0.815, 0.585], [0.735, 0.116, 0.256], [0.440, 0.698, 0.009], [0.265, 0.884, 0.744], [0.363, 0.523, 0.677], [0.560, 0.302, 0.991], [0.637, 0.477, 0.323], [0.306, 0.185, 0.415], [0.860, 0.609, 0.842], [0.245, 0.043, 0.099], [0.140, 0.391, 0.158], [0.019, 0.805, 0.268], [0.856, 0.285, 0.628], [0.144, 0.715, 0.372], [0.981, 0.195, 0.732]]
}